VASP calculation (PBE-GGA) on a relaxed structure of Cr3CdSi.

Computed properties:
SG = Pm-3m (221)
Raw formation energy = 1.7827 eV per atom

Cell and atoms, written as extended XYZ:
```
5
Lattice="5.021 0.000 0.000 0.000 5.021 0.000 0.000 0.000 5.021" Properties=species:S:1:pos:R:3 pbc="T T T"
Cr 0.000 0.000 2.511
Cr 0.000 2.511 0.000
Cr 2.511 0.000 0.000
Cd 0.000 0.000 0.000
Si 2.511 2.511 2.511
```